PbAuCl2 GGA-PBEsol optimized geometry; total energy = -12.746 eV/cell; offset from the most stable computed form = 0.057 eV per atom; ΔE_f (raw) = -0.81 eV per formula unit; space group = No. 47
1.0
3.844 0.000 0.000
0.000 4.250 0.000
0.000 0.000 5.407
Pb Au Cl
1 1 2
Direct
0.000 0.000 0.000
0.500 0.000 0.500
0.000 0.500 0.500
0.500 0.500 0.000